1.
VASP calculation (PBE) on an optimized crystal structure of BeHgBr2.

Values from the calculation:
**E_form (uncorrected)**: -0.5594 eV per atom

Lattice parameters (Å, degrees): 7.118 7.118 6.881 58.85 58.85 90.00
Element x y z (fractional)
Be  0.500  0.500  0.000
Be  0.250  0.750  0.500
Hg  0.000  0.000  0.000
Hg  0.750  0.250  0.500
Br  0.469  0.125  0.250
Br  0.281  0.625  0.250
Br  0.375  0.531  0.750
Br  0.875  0.719  0.750

---

2.
VASP calculation (PBE) on an optimized crystal structure of BeHgBr2.

Values from the calculation:
**E_form (uncorrected)**: 0.2172 eV per atom

Lattice parameters (Å, degrees): 3.192 3.192 9.156 90.00 90.00 90.00
Element x y z (fractional)
Be  0.500  0.500  0.770
Hg  0.000  0.000  0.554
Br  0.000  0.000  0.905
Br  0.500  0.500  0.271

---

3.
VASP calculation (PBE) on an optimized crystal structure of BeHgBr2.

Values from the calculation:
**E_form (uncorrected)**: -0.4742 eV per atom

Lattice parameters (Å, degrees): 6.828 6.828 7.974 57.77 57.77 28.05
Element x y z (fractional)
Be  0.250  0.250  0.250
Hg  0.750  0.750  0.750
Br  0.893  0.893  0.116
Br  0.607  0.607  0.384

---

4.
VASP calculation (PBE) on an optimized crystal structure of La2BeHgBr.

Values from the calculation:
**E_form (uncorrected)**: -0.3478 eV per atom

Lattice parameters (Å, degrees): 5.642 4.407 5.642 90.00 90.00 90.00
Element x y z (fractional)
Be  0.000  0.000  0.000
Hg  0.000  0.500  0.000
Br  0.500  0.500  0.500
La  0.000  0.000  0.500
La  0.500  0.000  0.000

---

5.
VASP calculation (PBE) on an optimized crystal structure of La2BeHgBr.

Values from the calculation:
**E_form (uncorrected)**: -0.1180 eV per atom

Lattice parameters (Å, degrees): 6.064 4.357 6.064 90.00 90.00 90.00
Site moments in Bohr magnetons follow the coordinates.
Element x y z (fractional)
Be  0.000  0.500  0.000  -0.01
Hg  0.000  0.000  0.000  0.00
Br  0.500  0.500  0.500  0.00
La  0.000  0.000  0.500  0.20
La  0.500  0.000  0.000  0.21

---

6.
VASP calculation (PBE) on an optimized crystal structure of BeHg2MoBr.

Values from the calculation:
**E_form (uncorrected)**: 1.4108 eV per atom

Lattice parameters (Å, degrees): 7.183 5.137 7.183 90.00 90.00 90.00
Site moments in Bohr magnetons follow the coordinates.
Element x y z (fractional)
Be  0.500  0.500  0.500  0.01
Mo  0.000  0.500  0.000  3.81
Hg  0.000  0.000  0.500  0.02
Hg  0.500  0.000  0.000  0.01
Br  0.000  0.000  0.000  0.04

---

7.
VASP calculation (PBE) on an optimized crystal structure of Be2HgBrN.

Values from the calculation:
**E_form (uncorrected)**: 0.3618 eV per atom

Lattice parameters (Å, degrees): 3.674 7.904 3.674 90.00 90.00 90.00
Element x y z (fractional)
Be  0.000  0.000  0.500
Be  0.500  0.000  0.000
Hg  0.000  0.500  0.000
Br  0.500  0.500  0.500
N  0.000  0.000  0.000

---

8.
VASP calculation (PBE) on an optimized crystal structure of Na2Be2HgBr6.

Values from the calculation:
**E_form (uncorrected)**: -1.0407 eV per atom

Lattice parameters (Å, degrees): 7.544 8.413 8.281 117.05 90.01 63.26
Element x y z (fractional)
Na  0.842  0.317  0.815
Na  0.158  0.683  0.185
Be  0.144  0.713  0.778
Be  0.856  0.287  0.222
Hg  0.500  0.000  0.500
Br  0.401  0.674  0.886
Br  0.074  0.327  0.115
Br  0.082  0.836  0.602
Br  0.926  0.673  0.885
Br  0.918  0.164  0.398
Br  0.599  0.326  0.114

---

no.,magnetic moment (μB/cell)
1,0.00
2,0.00
3,0.00
4,0.00
5,1.00
6,5.00
7,0.00
8,0.00